Entry 1:
# Li2HfAu8, relaxed, DFT PBE
# formation enthalpy at 0 K = -0.3620 eV per atom
# ΔE to the lowest computed polymorph = 0.041 eV/atom
data_Li2HfAu8
_chemical_formula_sum 'Li4 Hf2 Au16'
_cell_length_a 4.314
_cell_length_b 6.873
_cell_length_c 13.170
_cell_angle_alpha 90.00
_cell_angle_beta 90.00
_cell_angle_gamma 90.00
_symmetry_space_group_name_H-M 'I m m m'
_symmetry_Int_Tables_number 71
_symmetry_space_group_name_Hall '-I 2 2'
loop_
_atom_site_label
_atom_site_fract_x
_atom_site_fract_y
_atom_site_fract_z
_atom_site_occupancy
Li1 0.000 0.000 0.195 1
Hf1 0.000 0.000 0.500 1
Au1 0.000 0.207 0.000 1
Au2 0.000 0.289 0.346 1
Au3 0.000 0.500 0.157 1

Entry 2:
# Y2CrOs2, relaxed, DFT PBE
# formation enthalpy at 0 K = 0.0216 eV per atom
data_Y2CrOs2
_chemical_formula_sum 'Y4 Cr2 Os4'
_cell_length_a 6.476
_cell_length_b 6.476
_cell_length_c 4.709
_cell_angle_alpha 90.00
_cell_angle_beta 90.00
_cell_angle_gamma 90.00
_symmetry_space_group_name_H-M 'P 4/m b m'
_symmetry_Int_Tables_number 127
_symmetry_space_group_name_Hall '-P 4 2ab'
loop_
_atom_site_label
_atom_site_fract_x
_atom_site_fract_y
_atom_site_fract_z
_atom_site_occupancy
Y1 0.179 0.321 0.000 1
Cr1 0.000 0.000 0.500 1
Os1 0.135 0.635 0.500 1

Entry 3:
# RbHfCuTe4, relaxed, DFT PBE
# raw total energy = -4.49 eV/atom
data_RbHfCuTe4
_chemical_formula_sum 'Rb2 Hf2 Cu2 Te8'
_cell_length_a 7.154
_cell_length_b 6.249
_cell_length_c 10.444
_cell_angle_alpha 90.00
_cell_angle_beta 109.79
_cell_angle_gamma 90.00
_symmetry_space_group_name_H-M 'P 1 21/m 1'
_symmetry_Int_Tables_number 11
loop_
_symmetry_equiv_pos_as_xyz
'x,y,z'
'-x,-y,-z'
'-x,y+1/2,-z'
'x,-y+1/2,z'
loop_
_atom_site_label
_atom_site_fract_x
_atom_site_fract_y
_atom_site_fract_z
_atom_site_occupancy
Rb1 0.166 0.250 0.459 1
Hf1 0.289 0.750 0.061 1
Cu1 0.045 0.250 0.831 1
Te1 0.143 0.250 0.089 1
Te2 0.296 0.750 0.341 1
Te3 0.334 0.507 0.818 1

Entry 4:
# Cs2URh2Se6, relaxed, DFT PBE
# raw total energy = -5.07 eV/atom
data_Cs2URh2Se6
_chemical_formula_sum 'Cs4 U2 Rh4 Se12'
_cell_length_a 13.333
_cell_length_b 7.700
_cell_length_c 8.195
_cell_angle_alpha 90.00
_cell_angle_beta 122.98
_cell_angle_gamma 90.00
_symmetry_space_group_name_H-M 'C 1 2/m 1'
_symmetry_Int_Tables_number 12
loop_
_symmetry_equiv_pos_as_xyz
'x,y,z'
'-x,-y,-z'
'-x,y,-z'
'x,-y,z'
'x+1/2,y+1/2,z'
'-x+1/2,-y+1/2,-z'
'-x+1/2,y+1/2,-z'
'x+1/2,-y+1/2,z'
loop_
_atom_site_label
_atom_site_fract_x
_atom_site_fract_y
_atom_site_fract_z
_atom_site_occupancy
Cs1 0.240 0.000 0.222 1
U1 0.000 0.000 0.500 1
Rh1 0.061 0.500 0.186 1
Se1 0.001 0.241 0.739 1
Se2 0.240 0.000 0.734 1

Entry 5:
# Ac2TcAs, relaxed, DFT PBE
# formation enthalpy at 0 K = 0.4197 eV per atom
# ΔE to the lowest computed polymorph = 0.596 eV/atom
data_Ac2TcAs
_chemical_formula_sum 'Ac6 Tc3 As3'
_cell_length_a 4.2887
_cell_length_b 4.2887
_cell_length_c 27.4800
_cell_angle_alpha 90.00
_cell_angle_beta 90.00
_cell_angle_gamma 120.00
_symmetry_space_group_name_H-M 'R -3 m'
_symmetry_Int_Tables_number 166
_symmetry_space_group_name_Hall '-R 3 2"'
loop_
_atom_site_label
_atom_site_fract_x
_atom_site_fract_y
_atom_site_fract_z
_atom_site_occupancy
Ac1 0.0000 0.0000 0.0982 1
Tc1 0.0000 0.0000 0.0000 1
As1 0.0000 0.0000 0.5000 1

Entry 6:
# AcTbDy2Y6, relaxed, DFT PBE
# formation enthalpy at 0 K = 0.1275 eV per atom
data_AcTbDy2Y6
_chemical_formula_sum 'Ac4 Tb4 Dy8 Y24'
_cell_length_a 9.293
_cell_length_b 15.296
_cell_length_c 9.556
_cell_angle_alpha 90.00
_cell_angle_beta 95.21
_cell_angle_gamma 90.00
_symmetry_space_group_name_H-M 'C 1 2/c 1'
_symmetry_Int_Tables_number 15
loop_
_symmetry_equiv_pos_as_xyz
'x,y,z'
'-x,-y,-z'
'-x,y,-z+1/2'
'x,-y,z+1/2'
'x+1/2,y+1/2,z'
'-x+1/2,-y+1/2,-z'
'-x+1/2,y+1/2,-z+1/2'
'x+1/2,-y+1/2,z+1/2'
loop_
_atom_site_label
_atom_site_fract_x
_atom_site_fract_y
_atom_site_fract_z
_atom_site_occupancy
Ac1 0.000 0.031 0.250 1
Tb1 0.000 0.413 0.750 1
Dy1 0.243 0.444 0.449 1
Y1 0.060 0.186 0.942 1
Y2 0.100 0.389 0.113 1
Y3 0.216 0.228 0.319 1